{"formula": "Ce2GeAs", "functional": "PBE", "state": "optimized geometry", "cell": [[2.1518, -11.5552, 0.0000], [2.1518, 11.5552, 0.0000], [0.0000, 0.0000, 4.1668]], "species": ["Ce", "Ce", "Ce", "Ce", "Ge", "Ge", "As", "As"], "fractional_positions": [[0.0637, 0.9363, 0.7500], [0.3160, 0.6840, 0.7500], [0.6840, 0.3160, 0.2500], [0.9363, 0.0637, 0.2500], [0.4571, 0.5429, 0.7500], [0.5429, 0.4571, 0.2500], [0.1886, 0.8114, 0.7500], [0.8114, 0.1886, 0.2500]], "energy_ev_per_cell": -50.6, "e_form_ev_per_atom": -1.0412, "density_kg_m3": 6856, "de_polymorph_ev_per_atom": 0.000, "space_group": "No. 63"}